(1)
La2PrAg2: optimized geometry, PBE.

Summary:
* total moment: 0.00 μB/f.u.
* E_form: -0.182 eV/atom
* calculated volume: 589 Å³ per cell
* E: -21.248 eV per formula unit
* E above lowest polymorph: 0 meV/atom
* DOS(E_F): 22.81 states/eV/cell

abc: 3.803 28.048 5.525
angles: 90.00 90.00 90.00
Space group Cmcm (No. 63)
One atom of each set of equivalent atoms:
La: 0.000 0.048 0.250 x4
La: 0.000 0.235 0.250 x4
Pr: 0.000 0.145 0.750 x4
Ag: 0.000 0.358 0.750 x4
Ag: 0.000 0.451 0.250 x4

---

(2)
InSn3Au: optimized geometry, PBE.

Summary:
* total moment: 0.00 μB/f.u.
* E_form: -0.048 eV/atom
* calculated volume: 1055 Å³ per cell
* E: -18.263 eV per formula unit
* E above lowest polymorph: 0 meV/atom
* DOS(E_F): 17.69 states/eV/cell

abc: 12.471 7.103 12.322
angles: 90.00 104.83 90.00
Space group C2/c (No. 15)
One atom of each set of equivalent atoms:
In: 0.089 0.093 0.160 x8
Sn: 0.042 0.309 0.537 x8
Sn: 0.158 0.450 0.297 x8
Sn: 0.214 0.112 0.897 x8
Au: 0.000 0.244 0.750 x4
Au: 0.250 0.250 0.500 x4

---

(3)
LiPmAlPt3: optimized geometry, PBE.

Summary:
* total moment: 0.00 μB/f.u.
* E_form: -0.781 eV/atom
* calculated volume: 429 Å³ per cell
* E: -33.216 eV per formula unit
* DOS(E_F): 11.21 states/eV/cell

abc: 5.722 12.904 5.813
angles: 90.00 90.00 90.00
Space group Cmcm (No. 63)
One atom of each set of equivalent atoms:
Li: 0.000 0.119 0.250 x4
Pm: 0.000 0.329 0.250 x4
Al: 0.000 0.389 0.750 x4
Pt: 0.000 0.196 0.750 x4
Pt: 0.238 0.000 0.000 x8

---

(4)
PuPa3N6: optimized geometry, PBE.

Summary:
* total moment: 5.00 μB/f.u.
* formation energy (no corrections): -15.59 eV per formula unit
* calculated volume: 298 Å³ per cell
* E: -108.363 eV per formula unit
* E above lowest polymorph: 0 meV/atom
* DOS(E_F): 16.16 states/eV/cell

abc: 9.213 3.580 9.360
angles: 90.00 104.97 90.00
Space group P2_1/m (No. 11)
One atom of each set of equivalent atoms:
Pu: 0.068 0.250 0.173 x2
Pa: 0.170 0.250 0.579 x2
Pa: 0.314 0.750 0.975 x2
Pa: 0.463 0.250 0.321 x2
N: 0.073 0.750 0.418 x2
N: 0.109 0.250 0.940 x2
N: 0.268 0.750 0.721 x2
N: 0.293 0.750 0.214 x2
N: 0.409 0.250 0.551 x2
N: 0.448 0.250 0.079 x2

---

(5)
FeCu4Pd5: optimized geometry, PBE.

Summary:
* total moment: 3.93 μB/f.u.
* E_form: -0.113 eV/atom
* calculated volume: 138 Å³ per cell
* E: -51.946 eV per formula unit
* DOS(E_F): 5.98 states/eV/cell

abc: 3.046 3.046 14.914
angles: 90.00 90.00 90.00
Space group P4/mmm (No. 123)
One atom of each set of equivalent atoms:
Fe: 0.000 0.000 0.000 x1
Cu: 0.000 0.000 0.202 x2
Cu: 0.000 0.000 0.401 x2
Pd: 0.500 0.500 0.100 x2
Pd: 0.500 0.500 0.300 x2
Pd: 0.500 0.500 0.500 x1

---

(6)
La3BAs: optimized geometry, PBE.

Summary:
* total moment: 0.00 μB/f.u.
* E_form: -0.344 eV/atom
* calculated volume: 142 Å³ per cell
* E: -27.830 eV per formula unit
* E above lowest polymorph: 0 meV/atom
* DOS(E_F): 4.04 states/eV/cell

abc: 5.212 5.212 5.212
angles: 90.00 90.00 90.00
Space group Pm-3m (No. 221)
One atom of each set of equivalent atoms:
La: 0.000 0.000 0.500 x3
B: 0.000 0.000 0.000 x1
As: 0.500 0.500 0.500 x1

---

(7)
Cr2NiAu: optimized geometry, PBE.

Summary:
* total moment: 4.89 μB/f.u.
* E_form: 0.713 eV/atom
* calculated volume: 237 Å³ per cell
* E: -25.452 eV per formula unit
* E above lowest polymorph: 573 meV/atom
* DOS(E_F): 19.50 states/eV/cell

abc: 6.863 6.863 5.031
angles: 90.00 90.00 90.00
Space group I-42d (No. 122)
One atom of each set of equivalent atoms:
Cr: 0.212 0.250 0.125 x8
Ni: 0.000 0.000 0.000 x4
Au: 0.000 0.000 0.500 x4

---

(8)
CaHoB2O6: optimized geometry, PBE.

Summary:
* total moment: 1.03 μB/f.u.
* formation energy (no corrections): -27.46 eV per formula unit
* calculated volume: 513 Å³ per cell
* E: -77.141 eV per formula unit
* DOS(E_F): 15.55 states/eV/cell

abc: 7.767 10.174 6.823
angles: 90.00 107.95 90.00
Space group C2/c (No. 15)
One atom of each set of equivalent atoms:
Ca: 0.000 0.084 0.250 x4
Ho: 0.000 0.428 0.750 x4
B: 0.242 0.336 0.243 x8
O: 0.098 0.395 0.096 x8
O: 0.146 0.082 0.615 x8
O: 0.233 0.297 0.753 x8

---

(9)
MgFe2As: optimized geometry, PBE.

Summary:
* total moment: 0.75 μB/f.u.
* E_form: 0.171 eV/atom
* calculated volume: 50 Å³ per cell
* E: -22.484 eV per formula unit
* DOS(E_F): 4.13 states/eV/cell

abc: 4.043 4.043 3.059
angles: 90.00 90.00 90.00
Space group P4/mmm (No. 123)
One atom of each set of equivalent atoms:
Mg: 0.000 0.000 0.000 x1
Fe: 0.000 0.500 0.500 x2
As: 0.500 0.500 0.000 x1

---

(10)
LaTcRu2: optimized geometry, PBE.

Summary:
* total moment: 0.00 μB/f.u.
* E_form: 0.426 eV/atom
* calculated volume: 144 Å³ per cell
* E: -32.141 eV per formula unit
* E above lowest polymorph: 291 meV/atom
* DOS(E_F): 10.90 states/eV/cell

abc: 3.041 4.975 9.534
angles: 90.00 90.00 90.00
Space group Immm (No. 71)
One atom of each set of equivalent atoms:
La: 0.000 0.000 0.000 x2
Tc: 0.000 0.000 0.500 x2
Ru: 0.000 0.500 0.221 x4

---

(11)
CaGaH2F8: optimized geometry, PBE.

Summary:
* total moment: 1.00 μB/f.u.
* calculated volume: 136 Å³ per cell
* E: -53.876 eV per formula unit
* DOS(E_F): 2.11 states/eV/cell

abc: 4.472 7.519 4.498
angles: 90.00 115.58 90.00
Space group P2/m (No. 10)
One atom of each set of equivalent atoms:
Ca: 0.000 0.000 0.000 x1
Ga: 0.000 0.500 0.000 x1
H: 0.500 0.293 0.500 x2
F: 0.240 0.500 0.761 x2
F: 0.260 0.290 0.260 x4
F: 0.298 0.000 0.707 x2

---

(12)
NpMoOs2: optimized geometry, PBE.

Summary:
* total moment: 2.77 μB/f.u.
* E_form: 0.242 eV/atom
* calculated volume: 196 Å³ per cell
* E: -45.262 eV per formula unit
* E above lowest polymorph: 76 meV/atom
* DOS(E_F): 18.77 states/eV/cell

abc: 2.7841 2.7841 29.1444
angles: 90.00 90.00 120.00
Space group R-3m (No. 166, hexagonal axes)
One atom of each set of equivalent atoms:
Np: 0.0000 0.0000 0.0000 x3
Mo: 0.0000 0.0000 0.5000 x3
Os: 0.0000 0.0000 0.2422 x6

---

(13)
BaCa2YCu: optimized geometry, PBE.

Summary:
* total moment: 0.00 μB/f.u.
* E_form: 0.036 eV/atom
* calculated volume: 188 Å³ per cell
* E: -16.305 eV per formula unit
* DOS(E_F): 5.20 states/eV/cell

abc: 5.854 5.854 5.490
angles: 90.00 90.00 90.00
Space group P4/mmm (No. 123)
One atom of each set of equivalent atoms:
Ba: 0.000 0.000 0.000 x1
Ca: 0.000 0.500 0.500 x2
Y: 0.500 0.500 0.000 x1
Cu: 0.500 0.500 0.500 x1

---

(14)
Hg2PbSe: optimized geometry, PBE.

Summary:
* total moment: 0.00 μB/f.u.
* formation energy (no corrections): -0.98 eV per formula unit
* calculated volume: 240 Å³ per cell
* E: -8.774 eV per formula unit
* DOS(E_F): 0.93 states/eV/cell

abc: 4.365 4.454 12.561
angles: 90.00 100.01 90.00
Space group P2_1/m (No. 11)
One atom of each set of equivalent atoms:
Hg: 0.046 0.250 0.099 x2
Hg: 0.429 0.250 0.852 x2
Pb: 0.190 0.750 0.381 x2
Se: 0.306 0.750 0.612 x2

---

(15)
MgTlSn: optimized geometry, PBE.

Summary:
* total moment: 0.00 μB/f.u.
* E_form: -0.029 eV/atom
* calculated volume: 161 Å³ per cell
* E: -8.050 eV per formula unit
* E above lowest polymorph: 27 meV/atom
* DOS(E_F): 1.99 states/eV/cell

abc: 3.455 5.318 9.395
angles: 77.04 82.97 73.26
Space group P1 (No. 1)
One atom of each set of equivalent atoms:
Mg: 0.000 0.000 0.000 x1
Mg: 0.363 0.030 0.312 x1
Tl: 0.328 0.492 0.834 x1
Tl: 0.693 0.015 0.651 x1
Sn: 0.039 0.538 0.456 x1
Sn: 0.683 0.517 0.154 x1

---

(16)
LaTb4Tl4: optimized geometry, PBE.

Summary:
* total moment: 0.00 μB/f.u.
* E_form: -0.173 eV/atom
* calculated volume: 542 Å³ per cell
* E: -34.467 eV per formula unit
* DOS(E_F): 14.84 states/eV/cell

abc: 9.540 9.540 5.953
angles: 90.00 90.00 90.00
Space group P4_2/n (No. 86, origin choice 2)
One atom of each set of equivalent atoms:
La: 0.250 0.250 0.250 x2
Tb: 0.094 0.829 0.644 x8
Tl: 0.035 0.143 0.846 x8

---

(17)
Cs2Ga2As2S: optimized geometry, PBE.

Summary:
* total moment: 0.00 μB/f.u.
* formation energy (no corrections): -4.36 eV per formula unit
* calculated volume: 441 Å³ per cell
* E: -25.546 eV per formula unit

abc: 13.818 4.177 8.909
angles: 90.00 120.90 90.00
Space group C2/m (No. 12)
One atom of each set of equivalent atoms:
Cs: 0.066 0.000 0.337 x4
Ga: 0.188 0.500 0.058 x4
As: 0.201 0.500 0.780 x4
S: 0.000 0.500 0.000 x2

---

(18)
HoNpRh2: optimized geometry, PBE.

Summary:
* total moment: 3.40 μB/f.u.
* E_form: -0.516 eV/atom
* calculated volume: 317 Å³ per cell
* E: -34.284 eV per formula unit
* E above lowest polymorph: 15 meV/atom
* DOS(E_F): 25.92 states/eV/cell

abc: 6.821 6.821 6.821
angles: 90.00 90.00 90.00
Space group Fm-3m (No. 225)
One atom of each set of equivalent atoms:
Ho: 0.000 0.000 0.000 x4
Np: 0.000 0.000 0.500 x4
Rh: 0.250 0.250 0.250 x8

---

(19)
TaAgSe: optimized geometry, PBE.

Summary:
* total moment: 0.00 μB/f.u.
* formation energy (no corrections): 0.73 eV per formula unit
* calculated volume: 57 Å³ per cell
* E: -17.457 eV per formula unit
* E above lowest polymorph: 333 meV/atom
* DOS(E_F): 3.04 states/eV/cell

abc: 4.3998 4.3998 3.4199
angles: 90.00 90.00 120.00
Space group P-6m2 (No. 187)
One atom of each set of equivalent atoms:
Ta: 0.0000 0.0000 0.0000 x1
Ag: 0.6667 0.3333 0.5000 x1
Se: 0.3333 0.6667 0.0000 x1

---

(20)
Cs2KTcCl8: optimized geometry, PBE.

Summary:
* total moment: 3.05 μB/f.u.
* formation energy (no corrections): -15.01 eV per formula unit
* calculated volume: 451 Å³ per cell
* E: -42.956 eV per formula unit
* DOS(E_F): 7.68 states/eV/cell

abc: 6.101 10.311 7.319
angles: 90.00 101.75 90.00
Space group P2/m (No. 10)
One atom of each set of equivalent atoms:
Cs: 0.000 0.239 0.000 x2
K: 0.500 0.500 0.500 x1
Tc: 0.500 0.000 0.500 x1
Cl: 0.002 0.500 0.718 x2
Cl: 0.131 0.000 0.337 x2
Cl: 0.418 0.165 0.702 x4